Entry 1:
Density functional theory data (PBE-GGA) for a relaxed CsNiIBr6 crystal. Values from VASP.

## Properties
ΔE_f (raw): -0.514 eV/atom

```
&SYSTEM
  ibrav = 0, nat = 9, ntyp = 4
/
ATOMIC_SPECIES
Br 79.90 Br.upf
Ni 58.69 Ni.upf
I 126.90 I.upf
Cs 132.91 Cs.upf
ATOMIC_POSITIONS crystal
Br 0.154 0.067 0.649
Br 0.596 0.177 0.605
Ni 0.335 0.345 0.464
I 0.607 0.783 0.498
Br 0.058 0.589 0.794
Br 0.507 0.517 0.468
Br 0.074 0.473 0.286
Br 0.563 0.065 0.125
Cs 0.106 0.984 0.112
CELL_PARAMETERS angstrom
7.299 0.907 0.215
4.093 8.078 -1.768
0.319 -1.985 7.110
```

=====

Entry 2:
Density functional theory data (PBE-GGA) for a relaxed Pr5Ga2Rh crystal. Values from VASP.

## Properties
total energy: -5.14 eV per atom
N(E_F): 12.778 states/eV per cell

```
&SYSTEM
  ibrav = 0, nat = 16, ntyp = 3
/
ATOMIC_SPECIES
Pr 140.91 Pr.upf
Ga 69.72 Ga.upf
Rh 102.91 Rh.upf
ATOMIC_POSITIONS crystal
Pr 0.000 0.858 0.208
Ga 0.500 0.074 0.334
Pr 0.000 0.642 0.708
Pr 0.500 0.686 0.421
Pr 0.500 0.814 0.921
Rh 0.000 0.000 0.000
Pr 0.000 0.000 0.500
Ga 0.500 0.926 0.666
Rh 0.000 0.500 0.500
Pr 0.500 0.314 0.579
Ga 0.500 0.426 0.834
Pr 0.000 0.142 0.792
Pr 0.000 0.358 0.292
Pr 0.000 0.500 0.000
Ga 0.500 0.574 0.166
Pr 0.500 0.186 0.079
CELL_PARAMETERS angstrom
4.767 0.000 0.000
0.000 7.836 0.000
0.000 0.000 12.273
```

=====

Entry 3:
Density functional theory data (PBE-GGA) for a relaxed Hf2ZrSn crystal. Values from VASP.

## Properties
total energy: -8.33 eV per atom
N(E_F): 5.651 states/eV per cell

```
&SYSTEM
  ibrav = 0, nat = 4, ntyp = 3
/
ATOMIC_SPECIES
Hf 178.49 Hf.upf
Sn 118.71 Sn.upf
Zr 91.22 Zr.upf
ATOMIC_POSITIONS crystal
Hf 0.000 0.000 0.247
Sn 0.500 0.500 0.000
Hf 0.000 0.000 0.753
Zr 0.500 0.500 0.500
CELL_PARAMETERS angstrom
-3.539 0.771 -0.857
-0.392 -3.408 -1.446
-1.870 -2.216 5.730
```

=====

Entry 4:
Density functional theory data (PBE-GGA) for a relaxed V2MoPt5Rh crystal. Values from VASP.

## Properties
total energy: -7.35 eV per atom
N(E_F): 18.230 states/eV per cell

```
&SYSTEM
  ibrav = 0, nat = 18, ntyp = 4
/
ATOMIC_SPECIES
Mo 95.94 Mo.upf
Pt 195.08 Pt.upf
V 50.94 V.upf
Rh 102.91 Rh.upf
ATOMIC_POSITIONS crystal
Mo 0.750 0.750 0.500
Pt 0.653 0.153 0.737
V 0.400 0.900 0.000
Pt 0.153 0.083 0.737
Pt 0.347 0.847 0.263
V 0.100 0.400 0.000
Pt 0.583 0.653 0.737
V 0.900 0.600 0.000
Rh 0.250 0.750 0.500
Mo 0.250 0.250 0.500
Pt 0.417 0.347 0.263
Pt 0.500 0.500 0.000
V 0.600 0.100 0.000
Pt 0.847 0.917 0.263
Pt 0.917 0.417 0.263
Rh 0.750 0.250 0.500
Pt 0.000 0.000 0.000
Pt 0.083 0.583 0.737
CELL_PARAMETERS angstrom
-2.511 -6.358 2.416
2.463 -3.251 -5.994
4.759 3.867 4.243
```

=====

Entry 5:
Density functional theory data (PBE-GGA) for a relaxed LaMgGaAu2 crystal. Values from VASP.

## Properties
total energy: -3.90 eV per atom
N(E_F): 2.576 states/eV per cell

```
&SYSTEM
  ibrav = 0, nat = 5, ntyp = 4
/
ATOMIC_SPECIES
La 138.91 La.upf
Au 196.97 Au.upf
Mg 24.30 Mg.upf
Ga 69.72 Ga.upf
ATOMIC_POSITIONS crystal
La 0.000 0.000 0.000
Au 0.612 0.612 0.224
Mg 0.750 0.250 0.500
Ga 0.250 0.750 0.500
Au 0.388 0.388 0.776
CELL_PARAMETERS angstrom
-2.397 -2.736 2.149
-0.413 -2.367 -3.475
6.538 -0.690 2.261
```

=====

Entry 6:
Density functional theory data (PBE-GGA) for a relaxed Cr2InAg crystal. Values from VASP.

## Properties
total energy: -5.53 eV per atom
N(E_F): 3.267 states/eV per cell

```
&SYSTEM
  ibrav = 0, nat = 4, ntyp = 3
/
ATOMIC_SPECIES
In 114.82 In.upf
Cr 52.00 Cr.upf
Ag 107.87 Ag.upf
ATOMIC_POSITIONS crystal
In 0.000 0.500 0.500
Cr 0.000 0.000 0.000
Cr 0.500 0.000 0.500
Ag 0.500 0.500 0.000
CELL_PARAMETERS angstrom
-0.281 4.774 -3.007
-4.377 -2.457 0.879
-1.053 2.038 1.463
```

=====

Entry 7:
Density functional theory data (PBE-GGA) for a relaxed Sm2DyAl2Ga2 crystal. Values from VASP.

## Properties
total energy: -4.35 eV per atom
N(E_F): 6.452 states/eV per cell

```
&SYSTEM
  ibrav = 0, nat = 7, ntyp = 4
/
ATOMIC_SPECIES
Al 26.98 Al.upf
Ga 69.72 Ga.upf
Sm 150.36 Sm.upf
Dy 162.50 Dy.upf
ATOMIC_POSITIONS crystal
Al 0.608 0.608 0.175
Ga 0.267 0.267 0.198
Sm 0.877 0.877 0.370
Dy 0.000 0.000 0.000
Ga 0.733 0.733 0.802
Al 0.392 0.392 0.825
Sm 0.123 0.123 0.630
CELL_PARAMETERS angstrom
-1.391 -0.994 -3.909
1.819 -3.195 -2.163
-7.111 -8.497 2.363
```

=====

Entry 8:
Density functional theory data (PBE-GGA) for a relaxed K3Fe crystal. Values from VASP.

## Properties
total energy: -2.10 eV per atom
N(E_F): 17.371 states/eV per cell

```
&SYSTEM
  ibrav = 0, nat = 8, ntyp = 2
/
ATOMIC_SPECIES
Fe 55.84 Fe.upf
K 39.10 K.upf
ATOMIC_POSITIONS crystal
Fe 0.000 0.000 0.000
K 0.500 0.000 0.750
K 0.750 0.500 0.000
Fe 0.500 0.500 0.500
K 0.000 0.250 0.500
K 0.250 0.500 0.000
K 0.500 0.000 0.250
K 0.000 0.750 0.500
CELL_PARAMETERS angstrom
7.178 0.000 0.000
0.000 7.178 0.000
0.000 0.000 7.178
```

=====

Entry 9:
Density functional theory data (PBE-GGA) for a relaxed Sc2CuPd9 crystal. Values from VASP.

## Properties
total energy: -5.86 eV per atom
N(E_F): 13.875 states/eV per cell

```
&SYSTEM
  ibrav = 0, nat = 12, ntyp = 3
/
ATOMIC_SPECIES
Sc 44.96 Sc.upf
Pd 106.42 Pd.upf
Cu 63.55 Cu.upf
ATOMIC_POSITIONS crystal
Sc 0.000 0.000 0.328
Pd 0.500 0.500 0.000
Sc 0.000 0.000 0.672
Pd 0.000 0.500 0.839
Pd 0.500 0.500 0.331
Pd 0.000 0.500 0.161
Pd 0.000 0.500 0.500
Pd 0.500 0.500 0.669
Cu 0.000 0.000 0.000
Pd 0.500 0.000 0.839
Pd 0.500 0.000 0.161
Pd 0.500 0.000 0.500
CELL_PARAMETERS angstrom
3.974 0.000 0.000
0.000 3.974 0.000
0.000 0.000 11.931
```

=====

Entry 10:
Density functional theory data (PBE-GGA) for a relaxed MgCuRuO2 crystal. Values from VASP.

## Properties
ΔE_f (raw): 0.381 eV/atom
N(E_F): 3.362 states/eV per cell

```
&SYSTEM
  ibrav = 0, nat = 5, ntyp = 4
/
ATOMIC_SPECIES
O 16.00 O.upf
Mg 24.30 Mg.upf
Cu 63.55 Cu.upf
Ru 101.07 Ru.upf
ATOMIC_POSITIONS crystal
O 0.500 0.000 0.000
Mg 0.500 0.500 0.500
Cu 0.000 0.000 0.000
Ru 0.000 0.500 0.000
O 0.000 0.000 0.500
CELL_PARAMETERS angstrom
3.829 0.000 0.000
0.000 4.685 0.000
0.000 0.000 3.829
```

=====

Entry 11:
Density functional theory data (PBE-GGA) for a relaxed Tl2PPbS4 crystal. Values from VASP.

## Properties
ΔE_f (raw): -0.313 eV/atom

```
&SYSTEM
  ibrav = 0, nat = 16, ntyp = 4
/
ATOMIC_SPECIES
Pb 207.20 Pb.upf
S 32.06 S.upf
P 30.97 P.upf
Tl 204.38 Tl.upf
ATOMIC_POSITIONS crystal
Pb 0.022 0.503 0.547
S 0.808 0.813 0.583
S 0.200 0.208 0.980
S 0.281 0.316 0.527
P 0.938 0.069 0.851
Tl 0.007 0.002 0.452
S 0.235 0.718 0.988
Tl 0.487 0.506 0.005
Pb 0.974 0.521 0.978
S 0.694 0.691 0.919
S 0.800 0.192 0.987
S 0.312 0.688 0.549
P 0.473 0.522 0.574
Tl 0.497 0.996 0.031
S 0.806 0.240 0.550
Tl 0.467 0.013 0.478
CELL_PARAMETERS angstrom
-5.641 -2.788 5.594
6.195 -6.235 2.840
1.579 8.675 -0.005
```

=====

Entry 12:
Density functional theory data (PBE-GGA) for a relaxed La3TeF crystal. Values from VASP.

## Properties
ΔE_f (raw): -1.395 eV/atom
N(E_F): 5.286 states/eV per cell

```
&SYSTEM
  ibrav = 0, nat = 5, ntyp = 3
/
ATOMIC_SPECIES
F 19.00 F.upf
Te 127.60 Te.upf
La 138.91 La.upf
ATOMIC_POSITIONS crystal
F 0.000 0.000 0.000
Te 0.500 0.500 0.500
La 0.000 0.500 0.000
La 0.500 0.000 0.000
La 0.000 0.000 0.500
CELL_PARAMETERS angstrom
5.078 0.000 0.000
0.000 5.078 0.000
0.000 0.000 5.078
```